# 1
Here is a relaxed structure of MnTeOs2 from Alexandria via LeMat-Bulk. Energies are from PBE.

Values from the calculation:
The raw total energy comes out at -8.110 eV per atom. The density of states at the Fermi level comes out at 0.804 states/eV/atom. Its crystal system is orthorhombic. For the formation energy from raw total energies, the calculation gives 0.582 eV per atom. As for the symmetry: Pmm2 (25).

a b c (Å): 2.9407 3.7520 6.0442
angles (deg): 90.00 90.00 90.00
Closest atoms and distances in Å follow each position.
Element x y z (fractional)
1 Mn 0.5000 0.5000 0.7754  5 Os 2.51-2.76
2 Os 0.0000 0.0000 0.0062  6 Os 2.63-2.94, 4 Mn 2.76, 1 Te 2.89
3 Os 0.5000 0.5000 0.1900  1 Mn 2.51, 4 Os 2.63
4 Te 0.0000 0.0000 0.5284  4 Mn 2.81, 5 Os 2.89-3.14, 2 Te 2.94


# 2
Here is a relaxed structure of Li4BiH2 from Alexandria via LeMat-Bulk. Energies are from PBE.

Values from the calculation:
The raw total energy comes out at -2.467 eV per atom. The density of states at the Fermi level comes out at 0.549 states/eV/atom. Its crystal system is tetragonal. As for the symmetry: I4/mmm (139).

a b c (Å): 5.2896 5.2896 6.7761
angles (deg): 67.03 67.03 90.00
Closest atoms and distances in Å follow each position.
Element x y z (fractional)
1 H 0.3935 0.3935 0.2129  1 Li 1.73
2 H 0.6065 0.6065 0.7871  1 Li 1.73
3 Bi 0.0000 0.0000 0.0000  6 Li 2.64-2.72
4 Li 0.2407 0.2407 0.5185  1 H 1.73
5 Li 0.7593 0.7593 0.4815  1 H 1.73
6 Li 0.0000 0.5000 0.0000  2 Bi 2.64, 4 H 2.91
7 Li 0.5000 0.0000 0.0000  2 Bi 2.64, 4 H 2.91


# 3
Here is a relaxed structure of Cd3SnSe from Alexandria via LeMat-Bulk. Energies are from PBE.

Values from the calculation:
The raw total energy comes out at -1.703 eV per atom. The density of states at the Fermi level comes out at 0.208 states/eV/atom. Its crystal system is cubic. The value obtained for the offset from the most stable computed form is 28 meV per atom. For the formation energy from raw total energies, the calculation gives 0.343 eV per atom. As for the symmetry: Pm-3m (221).

a b c (Å): 5.3548 5.3548 5.3548
angles (deg): 90.00 90.00 90.00
Closest atoms and distances in Å follow each position.
Element x y z (fractional)
1 Sn 0.5000 0.5000 0.5000  12 Cd 3.79
2 Se 0.0000 0.0000 0.0000  6 Cd 2.68
3 Cd 0.0000 0.5000 0.0000  2 Se 2.68
4 Cd 0.0000 0.0000 0.5000  2 Se 2.68
5 Cd 0.5000 0.0000 0.0000  2 Se 2.68


# 4
Here is a relaxed structure of SiH2Os2 from Alexandria via LeMat-Bulk. Energies are from PBE.

Values from the calculation:
The raw total energy comes out at -6.578 eV per atom. The density of states at the Fermi level comes out at 0.235 states/eV/atom. Its crystal system is tetragonal. As for the symmetry: P4/mbm (127).

a b c (Å): 5.5262 5.5262 3.1384
angles (deg): 90.00 90.00 90.00
Closest atoms and distances in Å follow each position.
Element x y z (fractional)
1 H 0.2914 0.7914 0.0000  2 Os 1.77, 2 Si 1.98
2 H 0.7914 0.7086 0.0000  2 Os 1.77, 2 Si 1.98
3 H 0.7086 0.2086 0.0000  2 Os 1.77, 2 Si 1.98
4 H 0.2086 0.2914 0.0000  2 Os 1.77, 2 Si 1.98
5 Si 0.0000 0.0000 0.0000  4 H 1.98
6 Si 0.5000 0.5000 0.0000  4 H 1.98
7 Os 0.1856 0.6856 0.5000  2 H 1.77
8 Os 0.6856 0.8144 0.5000  2 H 1.77
9 Os 0.8144 0.3144 0.5000  2 H 1.77
10 Os 0.3144 0.1856 0.5000  2 H 1.77


# 5
Here is a relaxed structure of Ag3Pt5 from Alexandria via LeMat-Bulk. Energies are from PBE.

Values from the calculation:
The raw total energy comes out at -4.850 eV per atom. The density of states at the Fermi level comes out at 0.957 states/eV/atom. Its crystal system is orthorhombic. The value obtained for the offset from the most stable computed form is 0 meV per atom. The calculation puts the formation energy at -4 kJ/mol of formula units. As for the symmetry: Amm2 (38).

a b c (Å): 8.5081 8.5081 2.8228
angles (deg): 90.00 90.00 140.32
Closest atoms and distances in Å follow each position.
Element x y z (fractional)
1 Ag 0.9983 0.9983 0.0000  6 Pt 2.76-3.01, 6 Ag 2.82
2 Ag 0.8706 0.6251 0.5000  4 Ag 2.82, 8 Pt 2.83-2.95
3 Ag 0.6251 0.8706 0.5000  4 Ag 2.82, 8 Pt 2.83-2.95
4 Pt 0.7598 0.2539 0.0000  8 Pt 2.75-2.89, 4 Ag 2.86-2.88
5 Pt 0.4764 0.4764 0.0000  6 Ag 2.76-3.01, 6 Pt 2.82
6 Pt 0.3884 0.1276 0.5000  8 Pt 2.75-2.82, 4 Ag 2.83-2.95
7 Pt 0.2539 0.7598 0.0000  8 Pt 2.75-2.89, 4 Ag 2.86-2.88
8 Pt 0.1276 0.3884 0.5000  8 Pt 2.75-2.82, 4 Ag 2.83-2.95


# 6
Here is a relaxed structure of CaSm5Pb5 from Alexandria via LeMat-Bulk. Energies are from PBE.

Values from the calculation:
The raw total energy comes out at -4.296 eV per atom. The density of states at the Fermi level comes out at 0.888 states/eV/atom. Its crystal system is monoclinic. The calculation puts the formation energy at -301 kJ/mol of formula units. As for the symmetry: C2/m (12).

a b c (Å): 6.3893 8.6669 7.5021
angles (deg): 102.11 90.00 111.63
Closest atoms and distances in Å follow each position.
Element x y z (fractional)
1 Ca 0.0000 0.0000 0.0000  6 Pb 3.19-3.28
2 Sm 0.6606 0.3213 0.3370  5 Pb 3.18-3.26
3 Sm 0.6665 0.3330 0.8373  5 Pb 3.19-3.26
4 Sm 0.0000 0.0000 0.5000  4 Pb 3.18-3.21
5 Sm 0.3335 0.6670 0.1627  5 Pb 3.19-3.26
6 Sm 0.3394 0.6787 0.6630  5 Pb 3.18-3.26
7 Pb 0.8316 0.6632 0.1765  5 Sm 3.20-3.25, 1 Ca 3.28
8 Pb 0.8338 0.6675 0.6616  5 Sm 3.18-3.26, 1 Ca 3.25
9 Pb 0.5000 0.0000 0.0000  4 Sm 3.18-3.19, 2 Ca 3.19
10 Pb 0.1662 0.3325 0.3384  5 Sm 3.18-3.26, 1 Ca 3.25
11 Pb 0.1684 0.3368 0.8235  5 Sm 3.20-3.25, 1 Ca 3.28